Record 1
PBE with a Hubbard U K2NiIrO4, optimized geometry; E_tot = -0.1855 Ha/atom
1.0
5.485 0.147 0.226
-2.204 5.025 -0.226
-2.204 -2.229 4.509
O Ni Ir K
4 1 1 2
Cartesian
3.156 2.574 0.744
-1.219 2.754 3.092
1.615 0.622 2.079
-1.397 -0.063 3.103
0.539 -0.342 3.438
-2.204 1.398 2.142
0.539 3.285 1.071
0.000 0.000 0.000

---

Record 2
PBE with a Hubbard U KNiIrO4, optimized geometry; E_tot = -0.1963 Ha/atom
1.0
-2.699 -2.258 -4.461
-2.807 -3.345 3.391
-2.962 6.202 3.665
O Ir Ni K
8 2 2 2
Cartesian
-2.199 4.132 2.417
-3.151 0.822 0.456
-3.906 -2.180 1.377
-5.318 -0.223 2.139
-3.502 2.580 3.990
-4.563 2.780 1.218
-4.967 -1.980 -1.395
-6.269 -3.532 0.178
-4.784 1.550 -0.178
-3.684 -0.950 2.773
-5.806 -1.389 0.584
-2.662 1.988 2.011
-6.213 1.841 3.434
-2.256 -1.242 -0.838

---

Record 3
PBE with a Hubbard U K2NiIrO6, optimized geometry; E_tot = -0.1919 Ha/atom
1.0
5.052 0.000 0.000
0.000 5.929 0.000
0.000 -2.965 5.135
O Ni K Ir
6 1 2 1
Cartesian
1.300 2.965 3.674
3.752 -1.699 4.404
1.300 1.265 0.731
1.300 4.664 0.731
3.752 1.699 4.404
3.752 0.000 1.461
2.526 0.000 0.000
3.489 2.965 1.712
1.563 0.000 3.423
0.000 0.000 0.000

---

Record 4
PBE with a Hubbard U KNiIrO6, optimized geometry; E_tot = -0.1984 Ha/atom
1.0
5.267 0.000 0.065
2.634 4.387 0.032
0.071 0.001 5.935
O Ir K Ni
6 1 1 1
Cartesian
1.051 1.690 1.965
5.839 4.386 1.966
4.768 4.386 4.097
1.724 2.617 4.128
4.287 1.691 4.035
3.614 2.616 1.871
2.669 1.512 3.000
5.338 0.095 6.000
5.303 2.947 3.032